# MgScVO2 GGA+U relaxed
data_MgScVO2
_chemical_formula_sum 'Mg1 Sc1 V1 O2'
_space_group_name_H-M_alt 'P 1'
_space_group_IT_number 1
_cell_length_a 3.8962
_cell_length_b 3.8962
_cell_length_c 5.4473
_cell_angle_alpha 90.00
_cell_angle_beta 90.00
_cell_angle_gamma 90.00
loop_
_space_group_symop_operation_xyz
'x,y,z'
loop_
_atom_site_label
_atom_site_type_symbol
_atom_site_fract_x
_atom_site_fract_y
_atom_site_fract_z
Mg1 Mg 0.0000 0.0000 0.0000
Sc1 Sc 0.5000 0.5000 0.0000
V1 V 0.5000 0.5000 0.5000
O1 O 0.0000 0.5000 0.5000
O2 O 0.5000 0.0000 0.5000
# - calculated total energy (eV per atom) = -5.45
# - DOS(E_F) (states/eV/f.u.) = 3.02